Here is a relaxed structure of KHg2PbF8 from the Alexandria database. Energies are from GGA-PBE.

Geometry as CIF:
```
data_KHg2PbF8
_cell_length_a 5.7239
_cell_length_b 5.7239
_cell_length_c 11.5454
_cell_angle_alpha 90.00
_cell_angle_beta 90.00
_cell_angle_gamma 90.00
_space_group_name_H-M_alt 'I -4 m 2'
_space_group_IT_number 119
_space_group_name_Hall 'I -4 -2'
loop_
_atom_site_label
_atom_site_type_symbol
_atom_site_fract_x
_atom_site_fract_y
_atom_site_fract_z
_atom_site_occupancy
K1 K 0.0000 0.0000 0.0000 1
Hg1 Hg 0.0000 0.0000 0.5000 1
Hg2 Hg 0.0000 0.5000 0.2500 1
Pb1 Pb 0.0000 0.5000 0.7500 1
F1 F 0.2323 0.2439 0.6341 1
```

Values from the calculation:
The density of states at the Fermi level is 6.20 states/eV per cell. The value obtained for the volume is 15.8 A^3/atom. For the total energy, the calculation gives -3.57 eV/atom.